KNa2NiP, relaxed, DFT PBE-GGA; total magnetic moment = 0.015 μB per atom; formation energy from the elements = -2.7 kcal/mol of atoms
1.0
5.465 0.000 0.000
0.000 5.465 0.000
0.000 0.000 4.243
K Na Ni P
1 2 1 1
direct
0.000 0.000 0.000 K
0.000 0.500 0.500 Na
0.500 0.000 0.500 Na
0.500 0.500 0.500 Ni
0.500 0.500 0.000 P